[1]
InCBrF2: optimized geometry, PBE.

Calculated values
Formation energy (no corrections), eV per formula unit: 3.936

Lattice parameters (Å, degrees): 4.149 6.386 4.149 90.00 90.00 90.00
Sites, in units of the cell vectors:
In 0.000 0.500 0.000
F 0.500 0.000 0.000
F 0.000 0.000 0.500
Br 0.000 0.000 0.000
C 0.500 0.500 0.500

***

[2]
La8C3Br4F: optimized geometry, PBE.

Calculated values
Formation energy (no corrections), eV per formula unit: -18.637

Lattice parameters (Å, degrees): 7.783 8.808 7.782 116.19 120.01 90.00
Sites, in units of the cell vectors:
C 0.500 0.500 0.000
C 0.500 0.500 0.500
C 0.000 0.500 0.500
La 0.237 0.687 0.474
La 0.763 0.313 0.526
La 0.271 0.312 0.541
La 0.713 0.687 0.950
La 0.237 0.687 0.950
La 0.763 0.313 0.050
La 0.729 0.688 0.459
La 0.287 0.313 0.050
Br 0.000 0.000 0.000
Br 0.500 0.000 0.000
Br 0.500 0.000 0.500
Br 0.000 0.000 0.500
F 0.000 0.500 0.000

***

[3]
NaCBrF2: optimized geometry, PBE.

Calculated values
Formation energy (no corrections), eV per formula unit: -0.280

Lattice parameters (Å, degrees): 3.743 7.459 3.743 90.00 90.00 90.00
Sites, in units of the cell vectors:
C 0.000 0.000 0.000
F 0.000 0.000 0.500
F 0.500 0.000 0.000
Na 0.000 0.500 0.000
Br 0.500 0.500 0.500

***

[4]
NaCBrF2: optimized geometry, PBE.

Calculated values
Formation energy (no corrections), eV per formula unit: -1.638

Lattice parameters (Å, degrees): 4.101 4.284 4.101 90.00 90.00 90.00
Sites, in units of the cell vectors:
F 0.500 0.000 0.000
F 0.000 0.000 0.500
Na 0.500 0.500 0.500
C 0.000 0.000 0.000
Br 0.000 0.500 0.000

***

[5]
Nb2CBrF: optimized geometry, PBE.

Calculated values
Formation energy (no corrections), eV per formula unit: 6.707

Lattice parameters (Å, degrees): 4.216 4.803 4.216 90.00 90.00 90.00
Sites, in units of the cell vectors:
Nb 0.000 0.000 0.500
Nb 0.500 0.000 0.000
Br 0.000 0.500 0.000
C 0.500 0.500 0.500
F 0.000 0.000 0.000

***

[6]
Nd8C3Br3F: optimized geometry, PBE.

Calculated values
Formation energy (no corrections), eV per formula unit: -14.538

Lattice parameters (Å, degrees): 7.662 7.676 8.459 117.03 90.00 119.94
Sites, in units of the cell vectors:
Nd 0.242 0.483 0.693
Nd 0.270 0.540 0.311
Nd 0.759 0.048 0.307
Nd 0.241 0.952 0.693
Nd 0.710 0.952 0.693
Nd 0.730 0.460 0.689
Nd 0.290 0.048 0.307
Nd 0.758 0.517 0.307
C 0.500 0.500 0.500
C 0.000 0.500 0.500
C 0.500 0.000 0.500
Br 0.500 0.500 0.000
Br 0.000 0.000 0.000
Br 0.000 0.500 0.000
F 0.000 0.000 0.500

***

[7]
Pb2CBrF: optimized geometry, PBE.

Calculated values
Formation energy (no corrections), eV per formula unit: 5.261

Lattice parameters (Å, degrees): 5.903 4.279 5.903 90.00 90.00 90.00
Sites, in units of the cell vectors:
Br 0.000 0.000 0.000
F 0.500 0.500 0.500
C 0.000 0.500 0.000
Pb 0.500 0.000 0.000
Pb 0.000 0.000 0.500

***

[8]
Pm6C2Br3F: optimized geometry, PBE.

Calculated values
Formation energy (no corrections), eV per formula unit: -14.128

Lattice parameters (Å, degrees): 6.572 6.572 7.664 98.22 98.22 120.09
Sites, in units of the cell vectors:
Pm 0.590 0.939 0.816
Pm 0.713 0.713 0.184
Pm 0.410 0.061 0.184
Pm 0.287 0.287 0.816
Pm 0.939 0.590 0.816
Pm 0.061 0.410 0.184
Br 0.168 0.832 0.500
Br 0.500 0.500 0.500
Br 0.832 0.168 0.500
C 0.334 0.666 0.000
C 0.666 0.334 0.000
F 0.000 0.000 0.000

***

[9]
Pm8C3Br3F: optimized geometry, PBE.

Calculated values
Formation energy (no corrections), eV per formula unit: -14.799

Lattice parameters (Å, degrees): 7.603 7.615 8.370 117.10 90.00 119.95
Sites, in units of the cell vectors:
Br 0.500 0.500 0.000
Br 0.000 0.500 0.000
Br 0.000 0.000 0.000
Pm 0.242 0.951 0.693
Pm 0.758 0.049 0.307
Pm 0.730 0.459 0.688
Pm 0.709 0.951 0.693
Pm 0.242 0.484 0.693
Pm 0.758 0.516 0.307
Pm 0.291 0.049 0.307
Pm 0.270 0.541 0.312
C 0.500 0.000 0.500
C 0.000 0.500 0.500
C 0.500 0.500 0.500
F 0.000 0.000 0.500

***

[10]
Pr8C3Br3F: optimized geometry, PBE.

Calculated values
Formation energy (no corrections), eV per formula unit: -14.326

Lattice parameters (Å, degrees): 7.721 7.738 8.548 116.98 90.00 119.93
Sites, in units of the cell vectors:
Pr 0.270 0.540 0.310
Pr 0.241 0.483 0.693
Pr 0.241 0.952 0.693
Pr 0.730 0.460 0.690
Pr 0.759 0.048 0.307
Pr 0.289 0.048 0.307
Pr 0.711 0.952 0.693
Pr 0.759 0.517 0.307
Br 0.000 0.000 0.000
Br 0.500 0.500 0.000
Br 0.000 0.500 0.000
C 0.000 0.500 0.500
C 0.500 0.500 0.500
C 0.500 0.000 0.500
F 0.000 0.000 0.500

***

[11]
Rb2CBrF6: optimized geometry, PBE.

Calculated values
Formation energy (no corrections), eV per formula unit: -14.983

Lattice parameters (Å, degrees): 6.465 6.465 6.254 58.88 58.88 90.00
Sites, in units of the cell vectors:
Br 0.000 0.000 0.000
C 0.500 0.500 0.000
F 0.697 0.697 0.605
F 0.303 0.303 0.395
F 0.668 0.668 0.000
F 0.332 0.332 0.000
F 0.668 0.332 0.000
F 0.332 0.668 0.000
Rb 0.750 0.250 0.500
Rb 0.250 0.750 0.500

***

[12]
Rb2CBr6F: optimized geometry, PBE.

Calculated values
Formation energy (no corrections), eV per formula unit: -3.125

Lattice parameters (Å, degrees): 8.306 8.306 7.255 55.08 55.08 90.00
Sites, in units of the cell vectors:
Br 0.714 0.286 0.000
Br 0.714 0.714 0.000
Br 0.286 0.286 0.000
Br 0.286 0.714 0.000
Br 0.738 0.738 0.523
Br 0.262 0.262 0.477
Rb 0.750 0.250 0.500
Rb 0.250 0.750 0.500
F 0.000 0.000 0.000
C 0.500 0.500 0.000